Crystalline Sr2IrWO6 at its relaxed geometry, computed with PBE+U.

Cell: 5.5905 5.5905 8.8186 Å, 90.00 90.00 90.00°
Closest atoms and distances in Å follow each position.
Positions (direct):
1 Sr 0.5000 0.7501 0.2500  12 O 2.80-2.96
2 Sr 0.0000 0.2499 0.7500  12 O 2.80-2.96
3 Sr 0.5000 0.7501 0.7500  12 O 2.80-2.96
4 Sr 0.0000 0.2499 0.2500  12 O 2.80-2.96
5 Ir 0.0000 0.7498 0.5000  4 O 2.02
6 Ir 0.5000 0.2502 0.0000  4 O 2.02
7 W 0.5000 0.2499 0.5000  6 O 1.93-1.98
8 W 0.0000 0.7501 0.0000  6 O 1.93-1.98
9 O 0.5000 0.2498 0.2755  1 W 1.98
10 O 0.5000 0.2498 0.7245  1 W 1.98
11 O 0.0000 0.7502 0.2245  1 W 1.98
12 O 0.0000 0.7502 0.7755  1 W 1.98
13 O 0.2557 0.0055 0.5000  1 W 1.93, 1 Ir 2.02
14 O 0.7443 0.0055 0.5000  1 W 1.93, 1 Ir 2.02
15 O 0.2557 0.4941 0.5000  1 W 1.93, 1 Ir 2.02
16 O 0.7443 0.4941 0.5000  1 W 1.93, 1 Ir 2.02
17 O 0.7557 0.5059 0.0000  1 W 1.93, 1 Ir 2.02
18 O 0.2443 0.5059 0.0000  1 W 1.93, 1 Ir 2.02
19 O 0.2443 0.9945 0.0000  1 W 1.93, 1 Ir 2.02
20 O 0.7557 0.9945 0.0000  1 W 1.93, 1 Ir 2.02

Output
SG: I4/mmm (139)
E (eV/atom): -6.87
M_tot (Bohr magnetons per cell): 1.987